{"formula": "ZnFeCu2", "functional": "PBE-GGA", "state": "relaxed", "vol_a3_per_cell": 50, "total_energy_ev_per_atom": -4.436, "m_tot_mub_per_cell": 2.3, "lattice_angstrom": [[8.7638, 0.0196, 0.0115], [8.3796, 2.5665, 0.0115], [8.3796, 1.2641, 2.2336]], "species": ["Zn", "Fe", "Cu", "Cu"], "frac_coords": [[0.7500, 0.7500, 0.7500], [0.2500, 0.2500, 0.2500], [0.9981, 0.9981, 0.9981], [0.5019, 0.5019, 0.5019]]}